No. 1
# YGe4Pd6

An optimized crystal structure of YGe4Pd6 (PBE, the Alexandria database).

Properties
The formation enthalpy at 0 K comes out at -0.67 eV/atom.

abc: 7.3736 7.3736 3.9073
angles: 90.00 90.00 120.00
Space group P-6m2 (No. 187)
Unique sites:
Y1 0.0000 0.0000 0.0000
Ge1 0.3333 0.6667 0.0000
Ge2 0.3800 0.1900 0.5000
Pd1 0.1985 0.3971 0.5000
Pd2 0.5355 0.0710 0.0000



No. 2
# CdSeBr3

An optimized crystal structure of CdSeBr3 (PBE, the Alexandria database).

Properties
The value obtained for the energy relative to the elements, uncorrected is -0.001 eV per atom.

abc: 5.392 5.392 5.392
angles: 90.00 90.00 90.00
Space group Pm-3m (No. 221)
Unique sites:
Cd1 0.000 0.000 0.000
Se1 0.500 0.500 0.500
Br1 0.000 0.500 0.500



No. 3
# CsTaRe2

An optimized crystal structure of CsTaRe2 (PBE, the Alexandria database).

Properties
The formation enthalpy at 0 K comes out at 1.94 eV/atom.

abc: 5.103 5.103 17.729
angles: 90.00 90.00 90.00
Space group I-42d (No. 122)
Unique sites:
Cs1 0.000 0.000 0.000
Ta1 0.000 0.000 0.500
Re1 0.039 0.250 0.625



No. 4
# MnReAg2

An optimized crystal structure of MnReAg2 (PBE, the Alexandria database).

Properties
The formation enthalpy at 0 K comes out at 1.18 eV/atom.

abc: 6.251 6.251 6.251
angles: 90.00 90.00 90.00
Space group Fm-3m (No. 225)
Unique sites:
Mn1 0.000 0.000 0.000
Re1 0.000 0.000 0.500
Ag1 0.250 0.250 0.250



Number 1: calculated density 9.19 g/cm³. Number 2: calculated density 4.57 g/cm³. Number 3: calculated density 9.87 g/cm³. Number 4: calculated density 12.42 g/cm³.